Entry from Alexandria via LeMat-Bulk: a geometry-optimized Tl4AsCl6 structure (PBE).

abc: 8.7256 8.7256 8.8630
angles: 90.00 90.00 90.00
Positions (direct):
Tl: 0.1566 0.3434 0.2500
Tl: 0.1566 0.3434 0.7500
Tl: 0.3434 0.8434 0.2500
Tl: 0.3434 0.8434 0.7500
Tl: 0.6566 0.1566 0.2500
Tl: 0.6566 0.1566 0.7500
Tl: 0.8434 0.6566 0.2500
Tl: 0.8434 0.6566 0.7500
As: 0.0000 0.0000 0.0000
As: 0.5000 0.5000 0.5000
Cl: 0.0000 0.0000 0.2801
Cl: 0.0000 0.0000 0.7199
Cl: 0.1306 0.6937 0.0000
Cl: 0.1937 0.6306 0.5000
Cl: 0.3063 0.1306 0.0000
Cl: 0.3694 0.1937 0.5000
Cl: 0.5000 0.5000 0.2199
Cl: 0.5000 0.5000 0.7801
Cl: 0.6306 0.8063 0.5000
Cl: 0.6937 0.8694 0.0000
Cl: 0.8063 0.3694 0.5000
Cl: 0.8694 0.3063 0.0000

## Properties
Formation energy (no corrections)   -0.76 eV/atom
DOS at the Fermi energy   11.45 states/eV per cell